# YSbP2 | the Alexandria database | PBE | relaxed
# N(E_F) ... 0.257 states/eV per atom
# Raw formation energy ... -0.682 eV/atom
data_YSbP2
_cell_length_a 4.0155
_cell_length_b 4.0155
_cell_length_c 5.7887
_cell_angle_alpha 90.00
_cell_angle_beta 90.00
_cell_angle_gamma 90.00
_symmetry_space_group_name_H-M 'P 4 m m'
_symmetry_Int_Tables_number 99
loop_
_symmetry_equiv_pos_as_xyz
'x,y,z'
'-y,x,z'
'-x,-y,z'
'y,-x,z'
'-x,y,z'
'y,x,z'
'x,-y,z'
'-y,-x,z'
loop_
_atom_site_label
_atom_site_type_symbol
_atom_site_fract_x
_atom_site_fract_y
_atom_site_fract_z
Y1 Y 0.0000 0.0000 0.0000
Sb1 Sb 0.5000 0.5000 0.5524
P1 P 0.0000 0.0000 0.5068
P2 P 0.5000 0.5000 0.0047